Record 1
Entry from the Alexandria database: crystalline Sr3TaAg at its relaxed geometry (GGA-PBE).

Values from the calculation:
ΔE to the lowest computed polymorph	129	meV/atom
DOS(E_F)	0.9324	states/eV/atom
M_tot	0.00	μB/cell
energy	-14.47	eV/cell
ΔH_f (0 K)	1.06	eV per atom

Cell lengths 5.9015, 5.9015, 5.9015 Å; angles 90.00, 90.00, 90.00 degrees
Last column: nearest neighbours and their distance in Å.
Fractional positions:
Sr 0.0000 0.5000 0.0000  2 Ta 2.95
Sr 0.0000 0.0000 0.5000  2 Ta 2.95
Sr 0.5000 0.0000 0.0000  2 Ta 2.95
Ag 0.5000 0.5000 0.5000  12 Sr 4.17
Ta 0.0000 0.0000 0.0000  6 Sr 2.95

***

Record 2
Entry from the Alexandria database: crystalline SrTaAg2 at its relaxed geometry (GGA-PBE).

Values from the calculation:
ΔE to the lowest computed polymorph	137	meV/atom
DOS(E_F)	0.6423	states/eV/atom
M_tot	0.00	μB/cell
energy	-17.23	eV/cell
ΔH_f (0 K)	0.50	eV per atom

Cell lengths 4.8934, 4.8934, 6.7734 Å; angles 82.79, 82.79, 35.98 degrees
Last column: nearest neighbours and their distance in Å.
Fractional positions:
Ag 0.0063 0.0063 0.9350  3 Ta 2.84-2.87, 4 Ag 2.94-3.02
Ag 0.4937 0.4937 0.5650  3 Ta 2.84-2.87, 4 Ag 2.94-3.02
Sr 0.2500 0.2500 0.2500  2 Sr 3.02, 6 Ag 3.31-3.34
Ta 0.7500 0.7500 0.7500  6 Ag 2.84-2.87, 2 Ta 3.02

***

- ΔH_f (0 K) of number 2 (SrTaAg2)?
  0.50 eV per atom